NaNdCr2O8, optimized geometry, DFT PBE with a Hubbard U; total moment = 0.00 μB per atom; space group = I-4m2; E = -0.25447 Ha/atom
1.0
-2.637 0.482 5.514
-3.462 -2.120 -4.594
4.534 -4.070 0.677
Na Nd Cr O
1 1 2 8
Direct
0.000 0.000 0.000
0.250 0.750 0.500
0.750 0.250 0.500
0.500 0.500 0.000
0.411 0.086 0.324
0.346 0.528 0.182
0.346 0.165 0.818
0.762 0.086 0.676
0.835 0.654 0.182
0.914 0.238 0.324
0.914 0.589 0.676
0.472 0.654 0.818